GdDyTmPa (PBE, relaxed); total energy = -7.82 eV per atom; density of states at the Fermi level = 8.323 states/eV/f.u.; space group = F-43m (216); calculated formation energy = 340 meV per atom
1.0
7.8440 0.0000 0.0000
0.0000 7.8440 0.0000
0.0000 0.0000 7.8440
Gd Dy Tm Pa
4 4 4 4
direct
0.0000 0.0000 0.0000 Gd
0.0000 0.5000 0.5000 Gd
0.5000 0.0000 0.5000 Gd
0.5000 0.5000 0.0000 Gd
0.0000 0.0000 0.5000 Dy
0.0000 0.5000 0.0000 Dy
0.5000 0.0000 0.0000 Dy
0.5000 0.5000 0.5000 Dy
0.2500 0.2500 0.2500 Tm
0.2500 0.7500 0.7500 Tm
0.7500 0.2500 0.7500 Tm
0.7500 0.7500 0.2500 Tm
0.2500 0.2500 0.7500 Pa
0.2500 0.7500 0.2500 Pa
0.7500 0.2500 0.2500 Pa
0.7500 0.7500 0.7500 Pa

=====

CrHg2P (PBE, relaxed); total energy = -3.37 eV per atom; density of states at the Fermi level = 2.024 states/eV/f.u.; space group = F-43m (216); calculated formation energy = 541 meV per atom
1.0
6.8288 0.0000 0.0000
0.0000 6.8288 0.0000
0.0000 0.0000 6.8288
Cr Hg P
4 8 4
direct
0.0000 0.0000 0.0000 Cr
0.0000 0.5000 0.5000 Cr
0.5000 0.0000 0.5000 Cr
0.5000 0.5000 0.0000 Cr
0.0000 0.0000 0.5000 Hg
0.0000 0.5000 0.0000 Hg
0.2500 0.2500 0.2500 Hg
0.2500 0.7500 0.7500 Hg
0.5000 0.0000 0.0000 Hg
0.5000 0.5000 0.5000 Hg
0.7500 0.2500 0.7500 Hg
0.7500 0.7500 0.2500 Hg
0.2500 0.2500 0.7500 P
0.2500 0.7500 0.2500 P
0.7500 0.2500 0.2500 P
0.7500 0.7500 0.7500 P